*i*
Entry from Alexandria: a relaxed SrInCl2 crystal (PBE).

- DOS at the Fermi energy: 2.2 states/eV/f.u.
- Spin magnetization: 0.00 μB/cell

Cell lengths 4.1226, 4.1226, 7.5072 Å; angles 90.00, 90.00, 90.01 degrees
Sites, in units of the cell vectors:
Sr 0.5000 0.5000 0.8636
Cl 0.5000 0.5000 0.2300
Cl 0.0000 0.0000 0.9230
In 0.0000 0.0000 0.4834

***

*ii*
Entry from Alexandria: a relaxed SrInCl2 crystal (PBE).

- DOS at the Fermi energy: 1.6 states/eV/f.u.
- Spin magnetization: 0.63 μB/cell

Cell lengths 4.2299, 5.8183, 5.9150 Å; angles 80.84, 90.00, 90.00 degrees
Sites, in units of the cell vectors:
Cl 0.0000 0.5325 0.5313
Cl 0.0000 0.9675 0.9687
Sr 0.5000 0.7500 0.7500
In 0.5000 0.2500 0.2500

***

How far above the most stable structure does each one sit? In meV per atom: *i* 32; *ii* 0.